This record from the Open Quantum Materials Database describes a geometry-optimized ErTmS4 structure. The functional is PBE.

Lattice parameters (Å, degrees): 4.8657 4.8657 7.1898 94.90 94.90 51.98
With the nearest neighbours (Å) after each atom.
Element x y z (fractional)
Tm: 0.1782 0.1782 0.7216  7 S 2.69-2.85
S: 0.6084 0.6084 0.9511  1 S 2.08
S: 0.3914 0.3914 0.0467  1 S 2.08
Er: 0.8219 0.8219 0.2787  7 S 2.70-2.86
S: 0.8636 0.8636 0.6562  1 Er 2.70, 3 Tm 2.75
S: 0.1365 0.1365 0.3457  1 Tm 2.69, 3 Er 2.75

Calculated total energy, eV per atom: -5.972